# 1
10
Lattice="8.2468 0.0000 0.0000 0.0000 8.2468 0.0000 0.0000 0.0000 2.9082" Properties=species:S:1:pos:R:3 comment="KGa2H2 | the Alexandria database | GGA-PBE | relaxed" e_above_lowest_polymorph_mev_per_atom=216 density_g_cm3=3.0 space_group="P4/mbm, No. 127" pbc="T T T"
Ga 0.9318 3.1916 0.0000
Ga 7.3150 5.0552 0.0000
Ga 3.1916 7.3150 0.0000
Ga 5.0552 0.9318 0.0000
H 4.8566 7.5136 1.4541
H 3.3902 0.7332 1.4541
H 0.7332 4.8566 1.4541
H 7.5136 3.3902 1.4541
K 4.1234 4.1234 0.0000
K 0.0000 0.0000 0.0000

# 2
5
Lattice="-2.2542 -5.4666 -1.4073 4.6932 -0.9730 -3.7380 3.3195 -2.6171 4.8490" Properties=species:S:1:pos:R:3 comment="SrScTeI2 | the Alexandria database | GGA-PBE | relaxed" e_above_lowest_polymorph_mev_per_atom=657 density_g_cm3=3.6 formation_energy_uncorrected_kcal_per_mol_atoms=-8.597 space_group="P4/mmm, No. 123" pbc="T T T"
Sc 2.8792 -4.5283 -0.1481
Te 1.6597 -1.3085 2.4245
Sr 0.0000 0.0000 0.0000
I 2.3466 -0.4865 -1.8690
I -1.1271 -2.7333 -0.7036

# 3
5
Lattice="5.2041 0.0000 0.0000 0.0000 5.2041 0.0000 0.0000 0.0000 5.0488" Properties=species:S:1:pos:R:3 comment="SnP2ICl | the Alexandria database | GGA-PBE | relaxed" e_above_lowest_polymorph_mev_per_atom=0 density_g_cm3=4.2 formation_energy_uncorrected_kcal_per_mol_atoms=14.442 space_group="P4/mmm, No. 123" pbc="T T T"
Sn 0.0000 0.0000 0.0000
P 2.6021 0.0000 0.0000
P 0.0000 2.6021 0.0000
Cl 0.0000 0.0000 2.5244
I 2.6021 2.6021 2.5244